No. 1
A relaxed structure of SrTlZn. Source: the Alexandria database, functional GGA-PBEsol.

Cell and atoms, written as POSCAR:
```
SrTlZn
1.0
3.9250 0.0000 0.0000
0.0000 4.8334 0.0000
0.0000 -2.4167 4.1858
Tl Sr Zn
1 1 1
Direct
0.0000 0.3333 0.6667
0.5000 0.0000 0.0000
0.0000 0.6667 0.3333
```

Summary:
The calculation puts the magnetic moment at 0.0 μB per formula unit. Its formation energy is -0.315 eV/atom. The value obtained for the volume is 79 Å³/f.u. The calculation puts the raw total energy at -7.00 eV/cell. Its crystal system is hexagonal.


No. 2
A relaxed structure of Li2BPt3. Source: the Alexandria database, functional GGA-PBEsol.

Cell and atoms, written as POSCAR:
```
Li2BPt3
1.0
6.7562 0.0000 0.0000
0.0000 6.7562 0.0000
0.0000 0.0000 6.7562
Pt Li B
12 8 4
Direct
0.3750 0.6897 0.4397
0.0603 0.6250 0.1897
0.8750 0.8103 0.5603
0.1897 0.0603 0.6250
0.5603 0.8750 0.8103
0.3103 0.9397 0.1250
0.6250 0.1897 0.0603
0.1250 0.3103 0.9397
0.9397 0.1250 0.3103
0.6897 0.4397 0.3750
0.4397 0.3750 0.6897
0.8103 0.5603 0.8750
0.9456 0.9456 0.9456
0.4456 0.5544 0.0544
0.0544 0.4456 0.5544
0.8044 0.1956 0.6956
0.5544 0.0544 0.4456
0.6956 0.8044 0.1956
0.1956 0.6956 0.8044
0.3044 0.3044 0.3044
0.8750 0.3750 0.1250
0.6250 0.6250 0.6250
0.3750 0.1250 0.8750
0.1250 0.8750 0.3750
```

Summary:
The calculation puts the magnetic moment at 0.0 μB per formula unit. Its formation energy is -0.555 eV/atom. The value obtained for the volume is 77 Å³/f.u. The calculation puts the raw total energy at -140.68 eV/cell. Its crystal system is cubic.


No. 3
A relaxed structure of Ho2Ti2O7. Source: the Alexandria database, functional GGA-PBEsol.

Cell and atoms, written as POSCAR:
```
Ho2Ti2O7
1.0
-2.8377 6.4940 0.0978
-4.0377 2.0211 5.4632
2.4013 4.8480 4.5787
O Ti Ho
14 4 4
Direct
0.0432 0.4568 0.4568
0.7932 0.7932 0.2068
0.7932 0.2068 0.2068
0.5000 0.5000 0.5000
0.4568 0.4568 0.0432
0.4568 0.0432 0.0432
0.0432 0.0432 0.4568
0.4568 0.0432 0.4568
0.2068 0.7932 0.2068
0.2068 0.7932 0.7932
0.7932 0.2068 0.7932
0.0432 0.4568 0.0432
0.7500 0.7500 0.7500
0.2068 0.2068 0.7932
0.6250 0.1250 0.1250
0.1250 0.1250 0.6250
0.1250 0.1250 0.1250
0.1250 0.6250 0.1250
0.6250 0.1250 0.6250
0.6250 0.6250 0.1250
0.6250 0.6250 0.6250
0.1250 0.6250 0.6250
```

Summary:
The calculation puts the magnetic moment at 0.0 μB per formula unit. The value obtained for the volume is 126 Å³/f.u. The formation energy without anion corrections comes out at -3.389 eV per atom. The calculation puts the raw total energy at -201.14 eV/cell. Its crystal system is cubic.


No. 4
A relaxed structure of CoPbSe2N. Source: the Alexandria database, functional GGA-PBEsol.

Cell and atoms, written as POSCAR:
```
CoPbSe2N
1.0
3.4270 0.0000 0.0000
0.0000 5.0753 0.0000
0.0000 0.0000 5.0753
N Se Pb Co
1 2 1 1
Direct
0.5000 0.0000 0.0000
0.0000 0.0000 0.5000
0.0000 0.5000 0.0000
0.5000 0.5000 0.5000
0.0000 0.0000 0.0000
```

Summary:
The calculation puts the magnetic moment at 0.0 μB per formula unit. The value obtained for the volume is 88 Å³/f.u. The formation energy without anion corrections comes out at 0.084 eV per atom. The calculation puts the raw total energy at -27.54 eV/cell. Its crystal system is tetragonal.


No. 5
A relaxed structure of Rb2ZrNbPd. Source: the Alexandria database, functional GGA-PBEsol.

Cell and atoms, written as POSCAR:
```
Rb2ZrNbPd
1.0
-2.6974 2.8551 -2.6472
-3.4746 -5.0382 -1.8933
-3.9570 0.8637 4.9635
Rb Zr Pd Nb
2 1 1 1
Direct
0.0000 0.0000 0.5000
0.0000 0.5000 0.0000
0.0000 0.0000 0.0000
0.5000 0.0000 0.0000
0.5000 0.5000 0.5000
```

Summary:
The calculation puts the magnetic moment at 5.6 μB per formula unit. Its formation energy is 1.910 eV/atom. The value obtained for the volume is 194 Å³/f.u. The calculation puts the raw total energy at -18.37 eV/cell. Its crystal system is tetragonal.


No. 6
A relaxed structure of LaMgInRh2. Source: the Alexandria database, functional GGA-PBEsol.

Cell and atoms, written as POSCAR:
```
LaMgInRh2
1.0
-2.5986 -2.2186 -3.3795
0.4641 -4.1546 2.3706
-4.8949 1.1646 2.9993
Rh In Mg La
2 1 1 1
Direct
0.0000 0.5000 0.0000
0.5000 0.0000 0.0000
0.5000 0.5000 0.5000
0.0000 0.0000 0.5000
0.0000 0.0000 0.0000
```

Summary:
The calculation puts the magnetic moment at 0.0 μB per formula unit. Its formation energy is 0.843 eV/atom. The value obtained for the volume is 135 Å³/f.u. The calculation puts the raw total energy at -22.11 eV/cell. Its crystal system is tetragonal.


No. 7
A relaxed structure of WS8Cl6. Source: the Alexandria database, functional GGA-PBEsol.

Cell and atoms, written as POSCAR:
```
WS8Cl6
1.0
7.9455 0.0154 -0.0685
0.0001 7.9458 -0.0335
-2.3378 -1.4317 12.2952
Cl S W
12 16 2
Direct
0.2446 0.7438 0.9277
0.5613 0.8757 0.1205
0.6634 0.1890 0.6997
0.4387 0.1243 0.8795
0.3366 0.8110 0.3003
0.0146 0.6789 0.1070
0.9854 0.3211 0.8930
0.6154 0.4947 0.8842
0.8118 0.9522 0.8879
0.7554 0.2562 0.0723
0.1882 0.0478 0.1121
0.3846 0.5053 0.1158
0.0170 0.5864 0.3730
0.7304 0.0875 0.4180
0.7612 0.5970 0.3054
0.0850 0.9726 0.6728
0.9830 0.4136 0.6270
0.1261 0.1827 0.3876
0.2388 0.4030 0.6946
0.5572 0.2458 0.3394
0.2696 0.9125 0.5820
0.8739 0.8173 0.6124
0.3776 0.5084 0.5965
0.4428 0.7542 0.6606
0.6224 0.4916 0.4035
0.8826 0.6196 0.7049
0.9150 0.0274 0.3272
0.1174 0.3804 0.2951
0.7121 0.2228 0.8863
0.2879 0.7772 0.1137
```

Summary:
The calculation puts the magnetic moment at 0.0 μB per formula unit. The value obtained for the volume is 387 Å³/f.u. The formation energy without anion corrections comes out at -0.394 eV per atom. The calculation puts the raw total energy at -133.67 eV/cell. Its crystal system is triclinic.


No. 8
A relaxed structure of SrMnSe2Br. Source: the Alexandria database, functional GGA-PBEsol.

Cell and atoms, written as POSCAR:
```
SrMnSe2Br
1.0
-1.7930 -2.9207 -3.5264
4.4479 -2.0102 -0.5967
-1.1211 -3.5136 3.4801
Br Se Mn Sr
1 2 1 1
Direct
0.0000 0.0000 0.5000
0.0000 0.5000 0.0000
0.5000 0.0000 0.0000
0.0000 0.0000 0.0000
0.5000 0.5000 0.5000
```

Summary:
The calculation puts the magnetic moment at 4.2 μB per formula unit. The value obtained for the volume is 123 Å³/f.u. The formation energy without anion corrections comes out at -0.971 eV per atom. The calculation puts the raw total energy at -26.03 eV/cell. Its crystal system is tetragonal.


No. 9
A relaxed structure of Cd2MoCl. Source: the Alexandria database, functional GGA-PBEsol.

Cell and atoms, written as POSCAR:
```
Cd2MoCl
1.0
-2.5763 -0.7622 4.1365
1.0530 -3.8593 2.8854
2.1233 0.7130 4.3946
Cd Cl Mo
2 1 1
Direct
0.7500 0.7500 0.7500
0.2500 0.2500 0.2500
0.0000 0.0000 0.0000
0.5000 0.5000 0.5000
```

Summary:
The calculation puts the magnetic moment at 3.9 μB per formula unit. The value obtained for the volume is 85 Å³/f.u. The formation energy without anion corrections comes out at 0.900 eV per atom. The calculation puts the energy above the most stable polymorph in this dataset at 0.522 eV per atom. The calculation puts the raw total energy at -12.57 eV/cell. Its crystal system is cubic.


No. 10
A relaxed structure of LiLaRu2Pb. Source: the Alexandria database, functional GGA-PBEsol.

Cell and atoms, written as POSCAR:
```
LiLaRu2Pb
1.0
-4.6566 -1.0109 0.4083
0.7160 -1.4849 4.4895
-1.0342 5.5752 2.0089
La Ru Li Pb
1 2 1 1
Direct
0.0000 0.0000 0.0000
0.5000 0.0000 0.0000
0.0000 0.5000 0.0000
0.5000 0.5000 0.5000
0.0000 0.0000 0.5000
```

Summary:
The calculation puts the magnetic moment at 0.7 μB per formula unit. Its formation energy is 1.371 eV/atom. The value obtained for the volume is 138 Å³/f.u. The calculation puts the raw total energy at -24.80 eV/cell. Its crystal system is tetragonal.


No. 11
A relaxed structure of ZrTe2Br5. Source: the Alexandria database, functional GGA-PBEsol.

Cell and atoms, written as POSCAR:
```
ZrTe2Br5
1.0
8.7256 0.2355 0.2129
-1.8452 8.5315 -0.2129
-3.9810 -3.9592 7.1832
Br Te Zr
10 4 2
Direct
0.2499 0.5111 0.0969
0.7501 0.4889 0.9031
0.9187 0.0739 0.6595
0.4144 0.2592 0.3405
0.9211 0.1636 0.0847
0.0813 0.9261 0.3405
0.5858 0.8470 0.0969
0.0789 0.8364 0.9153
0.5856 0.7408 0.6595
0.4142 0.1530 0.9031
0.1966 0.4349 0.6315
0.8034 0.5651 0.3685
0.1705 0.6705 0.5000
0.8295 0.3295 0.5000
0.8131 0.8131 0.0000
0.1869 0.1869 0.0000
```

Summary:
The calculation puts the magnetic moment at 0.0 μB per formula unit. The value obtained for the volume is 270 Å³/f.u. The formation energy without anion corrections comes out at -0.892 eV per atom. The calculation puts the raw total energy at -65.25 eV/cell. Its crystal system is monoclinic.


No. 12
A relaxed structure of Cd2InGa2. Source: the Alexandria database, functional GGA-PBEsol.

Cell and atoms, written as POSCAR:
```
Cd2InGa2
1.0
-2.7006 -0.9727 0.6745
1.1774 -6.7595 -5.0332
3.2067 -4.3405 6.5793
Cd In Ga
4 2 4
Direct
0.0000 0.1539 0.3461
0.0000 0.6539 0.1539
0.0000 0.8461 0.6539
0.0000 0.3461 0.8461
0.0000 0.0000 0.0000
0.0000 0.5000 0.5000
0.5000 0.1424 0.6424
0.5000 0.3576 0.1424
0.5000 0.8576 0.3576
0.5000 0.6424 0.8576
```

Summary:
The calculation puts the magnetic moment at 0.0 μB per formula unit. Its formation energy is 0.074 eV/atom. The value obtained for the volume is 107 Å³/f.u. The calculation puts the energy above the most stable polymorph in this dataset at 0.000 eV per atom. The calculation puts the raw total energy at -23.37 eV/cell. Its crystal system is tetragonal.